Here is a relaxed CeCoH2 crystal from the Alexandria database. Energies are from PBE-GGA.

symmetry = No. 15
excess energy over the best structure of this formula in the dataset = 0.000 eV/atom

Unit cell a=4.860 b=6.461 c=4.049 alpha=95.75 beta=126.88 gamma=90.00
Each line ends with the local moment (μB).
Fractional positions:
H: 0.021 0.901 0.704  0.00
H: 0.979 0.099 0.296  0.00
H: 0.683 0.401 0.704  0.00
H: 0.317 0.599 0.296  0.00
Co: 0.713 0.250 0.000  -0.04
Co: 0.287 0.750 0.000  -0.04
Ce: 0.270 0.250 0.000  0.19
Ce: 0.730 0.750 0.000  0.19

=====

Here is a relaxed CeCoH2 crystal from the Alexandria database. Energies are from PBE-GGA.

symmetry = No. 166
excess energy over the best structure of this formula in the dataset = 0.040 eV/atom

Unit cell a=4.057 b=4.057 c=4.088 alpha=60.25 beta=60.25 gamma=60.00
Each line ends with the local moment (μB).
Fractional positions:
Co: 0.000 0.000 0.000  0.10
H: 0.843 0.843 0.471  0.00
H: 0.157 0.157 0.529  0.00
Ce: 0.500 0.500 0.500  -0.32

=====

Here is a relaxed CeCoH6 crystal from the Alexandria database. Energies are from PBE-GGA.

symmetry = No. 166
excess energy over the best structure of this formula in the dataset = 0.000 eV/atom

Unit cell a=4.411 b=4.411 c=4.451 alpha=60.30 beta=60.30 gamma=60.00
Each line ends with the local moment (μB).
Fractional positions:
H: 0.096 0.584 0.223  0.00
H: 0.416 0.904 0.777  0.00
H: 0.904 0.904 0.777  0.00
H: 0.904 0.416 0.777  0.00
H: 0.584 0.096 0.223  0.00
H: 0.096 0.096 0.223  0.00
Co: 0.000 0.000 0.000  0.13
Ce: 0.500 0.500 0.500  0.79

=====

Here is a relaxed Ce6Co2H crystal from the Alexandria database. Energies are from PBE-GGA.

symmetry = No. 14
total energy = -6.11 eV per atom

Unit cell a=6.170 b=6.776 c=9.278 alpha=90.00 beta=90.20 gamma=90.00
Fractional positions:
Ce: 0.629 0.147 0.060
Ce: 0.374 0.853 0.557
Ce: 0.871 0.647 0.440
Ce: 0.626 0.147 0.443
Ce: 0.874 0.647 0.057
Ce: 0.373 0.560 0.254
Ce: 0.627 0.440 0.746
Ce: 0.371 0.853 0.940
Ce: 0.129 0.353 0.560
Ce: 0.127 0.060 0.246
Ce: 0.126 0.353 0.943
Ce: 0.873 0.940 0.754
Co: 0.559 0.857 0.251
Co: 0.059 0.643 0.751
Co: 0.941 0.357 0.249
Co: 0.441 0.143 0.749
H: 0.000 0.000 0.500
H: 0.500 0.500 0.000

=====

Number 1: volume 100.90 Å³/cell. Number 2: volume 47.76 Å³/cell. Number 3: volume 61.51 Å³/cell. Number 4: volume 387.91 Å³/cell.